No. 1
Here is an optimized crystal structure of K2BaW from the Alexandria database. Energies are from PBE-GGA.

The structure in extended XYZ format:
```
4
Lattice="7.490 0.006 0.000 3.911 6.388 0.000 -5.700 -3.197 3.658" Properties=species:S:1:pos:R:3 pbc="T T T"
Ba 3.745 0.003 1.829
K 0.000 0.000 0.000
K 5.700 3.197 0.000
W 1.956 3.194 1.829
```

The raw total energy is -2.8847 eV per atom. The total magnetization is 4.317 μB per cell. Its formation energy is 1383.0 meV per atom.


No. 2
Here is an optimized crystal structure of KBaW from the Alexandria database. Energies are from PBE-GGA.

The structure in extended XYZ format:
```
3
Lattice="-4.080 8.650 2.274 -4.416 7.182 5.044 2.556 1.508 1.064" Properties=species:S:1:pos:R:3 pbc="T T T"
Ba -8.185 15.428 7.142
K -5.071 11.392 5.380
W -1.181 6.351 3.179
```

The raw total energy is -3.8323 eV per atom. The total magnetization is 0.578 μB per cell. Its formation energy is 1492.1 meV per atom.


No. 3
Here is an optimized crystal structure of KBaW from the Alexandria database. Energies are from PBE-GGA.

The structure in extended XYZ format:
```
3
Lattice="5.965 0.000 0.000 -2.983 5.166 0.000 0.000 0.000 2.944" Properties=species:S:1:pos:R:3 pbc="T T T"
Ba 0.000 0.000 0.502
K 2.983 1.722 0.472
W 0.000 3.444 1.970
```

The raw total energy is -3.6882 eV per atom. The total magnetization is 1.166 μB per cell. Its formation energy is 1636.3 meV per atom.


No. 4
Here is an optimized crystal structure of K2BaW from the Alexandria database. Energies are from PBE-GGA.

The structure in extended XYZ format:
```
4
Lattice="7.483 0.014 0.000 -4.174 6.211 0.000 0.000 0.000 3.719" Properties=species:S:1:pos:R:3 pbc="T T T"
Ba -2.087 3.105 1.859
K 0.000 0.000 0.000
K 1.654 3.113 0.000
W 3.742 0.007 1.859
```

The raw total energy is -2.7337 eV per atom. The total magnetization is 3.600 μB per cell. Its formation energy is 1534.0 meV per atom.


No. 5
Here is an optimized crystal structure of K3BaW from the Alexandria database. Energies are from PBE-GGA.

The structure in extended XYZ format:
```
5
Lattice="-3.868 -5.177 2.198 5.309 -4.242 -0.648 1.857 1.343 6.430" Properties=species:S:1:pos:R:3 pbc="T T T"
K 2.655 -2.121 -0.324
K 0.929 0.671 3.215
K -1.934 -2.589 1.099
Ba 1.649 -4.038 3.991
W 0.000 0.000 0.000
```

The raw total energy is -2.2619 eV per atom. The total magnetization is 4.634 μB per cell. Its formation energy is 1371.8 meV per atom.


No. 6
Here is an optimized crystal structure of K2BaW from the Alexandria database. Energies are from PBE-GGA.

The structure in extended XYZ format:
```
8
Lattice="5.084 0.000 0.000 0.000 5.084 0.000 2.542 2.542 14.036" Properties=species:S:1:pos:R:3 pbc="T T T"
K 3.948 1.271 3.509
K 1.136 3.813 3.509
K 3.813 3.678 10.527
K 6.355 6.490 10.527
Ba 2.542 2.542 0.000
Ba 2.542 5.084 7.018
W 0.000 0.000 0.000
W 5.084 2.542 7.018
```

The raw total energy is -2.8201 eV per atom. The total magnetization is 8.295 μB per cell. Its formation energy is 1447.6 meV per atom.


No. 7
Here is an optimized crystal structure of K2BaW from the Alexandria database. Energies are from PBE-GGA.

The structure in extended XYZ format:
```
4
Lattice="3.899 0.000 0.000 0.000 3.899 0.000 0.000 0.000 12.059" Properties=species:S:1:pos:R:3 pbc="T T T"
Ba 1.949 1.949 8.106
K 0.000 0.000 11.956
K 1.949 1.949 3.870
W 0.000 0.000 6.215
```

The raw total energy is -3.0212 eV per atom. The total magnetization is 2.884 μB per cell. Its formation energy is 1246.6 meV per atom.


No. 8
Here is an optimized crystal structure of K2BaW from the Alexandria database. Energies are from PBE-GGA.

The structure in extended XYZ format:
```
4
Lattice="6.233 -0.075 -0.022 0.098 6.233 0.022 -3.155 -3.090 4.399" Properties=species:S:1:pos:R:3 pbc="T T T"
Ba 3.123 -0.042 2.189
K 6.330 6.156 0.000
K 0.053 3.109 2.211
W 3.169 3.082 0.000
```

The raw total energy is -2.8797 eV per atom. The total magnetization is 4.222 μB per cell. Its formation energy is 1388.0 meV per atom.


No. 9
Here is an optimized crystal structure of K2BaW from the Alexandria database. Energies are from PBE-GGA.

The structure in extended XYZ format:
```
4
Lattice="0.000 4.423 4.423 4.423 0.000 4.423 4.423 4.423 0.000" Properties=species:S:1:pos:R:3 pbc="T T T"
K 2.212 2.212 2.212
K 6.635 6.635 6.635
Ba 0.000 0.000 0.000
W 4.423 4.423 4.423
```

The raw total energy is -2.7342 eV per atom. The total magnetization is 3.963 μB per cell. Its formation energy is 1533.5 meV per atom.


No. 10
Here is an optimized crystal structure of K2BaW from the Alexandria database. Energies are from PBE-GGA.

The structure in extended XYZ format:
```
4
Lattice="-3.853 1.119 -0.474 -0.958 -3.767 -1.102 -2.240 -2.813 11.562" Properties=species:S:1:pos:R:3 pbc="T T T"
Ba -4.086 -3.434 7.883
K -0.140 -0.176 0.722
K -0.980 -1.231 5.059
W -2.966 -2.027 2.102
```

The raw total energy is -2.7138 eV per atom. The total magnetization is 4.226 μB per cell. Its formation energy is 1553.9 meV per atom.


No. 11
Here is an optimized crystal structure of KBa3W from the Alexandria database. Energies are from PBE-GGA.

The structure in extended XYZ format:
```
5
Lattice="6.106 0.000 0.000 0.000 6.106 0.000 0.000 0.000 6.106" Properties=species:S:1:pos:R:3 pbc="T T T"
K 0.000 0.000 0.000
Ba 0.000 3.053 0.000
Ba 0.000 0.000 3.053
Ba 3.053 0.000 0.000
W 3.053 3.053 3.053
```

The raw total energy is -1.9166 eV per atom. The total magnetization is 0.000 μB per cell. Its formation energy is 2047.2 meV per atom.


No. 12
Here is an optimized crystal structure of K2BaW from the Alexandria database. Energies are from PBE-GGA.

The structure in extended XYZ format:
```
4
Lattice="3.173 0.029 0.000 -0.031 3.173 0.000 0.000 0.000 13.887" Properties=species:S:1:pos:R:3 pbc="T T T"
Ba 1.571 1.601 10.415
K 0.000 0.000 0.692
K 0.000 0.000 6.252
W 1.571 1.601 3.472
```

The raw total energy is -2.7726 eV per atom. The total magnetization is 0.699 μB per cell. Its formation energy is 1495.1 meV per atom.


No. 13
Here is an optimized crystal structure of K2BaW from the Alexandria database. Energies are from PBE-GGA.

The structure in extended XYZ format:
```
4
Lattice="-2.539 2.228 -3.306 0.231 0.384 -4.705 -7.350 -9.608 -1.888" Properties=species:S:1:pos:R:3 pbc="T T T"
Ba -2.915 -2.514 -2.458
K -2.377 2.519 -8.025
K -6.780 -4.542 -7.437
W -4.722 -3.344 -4.942
```

The raw total energy is -2.9118 eV per atom. The total magnetization is 3.158 μB per cell. Its formation energy is 1356.0 meV per atom.


No. 14
Here is an optimized crystal structure of KBaY2 from the Alexandria database. Energies are from PBE-GGA.

The structure in extended XYZ format:
```
4
Lattice="-4.435 3.812 4.966 -4.236 -3.633 5.265 6.854 1.678 -3.013" Properties=species:S:1:pos:R:3 pbc="T T T"
Ba -0.958 2.790 3.535
K -0.859 -0.933 3.684
Y -8.656 0.179 10.215
Y -4.349 0.090 5.132
```

The raw total energy is -3.5532 eV per atom. The total magnetization is 0.001 μB per cell. Its formation energy is 433.9 meV per atom.


No. 15
Here is an optimized crystal structure of KBaY2 from the Alexandria database. Energies are from PBE-GGA.

The structure in extended XYZ format:
```
4
Lattice="-5.336 0.941 -5.418 -3.232 -6.232 -3.071 1.340 4.459 6.086" Properties=species:S:1:pos:R:3 pbc="T T T"
Ba -4.330 -2.674 -4.290
K -2.977 -2.141 -0.505
Y -8.419 -5.199 -8.341
Y -4.355 1.244 -2.001
```

The raw total energy is -3.5505 eV per atom. The total magnetization is 0.000 μB per cell. Its formation energy is 436.6 meV per atom.


No. 16
Here is an optimized crystal structure of K2Ba2Y from the Alexandria database. Energies are from PBE-GGA.

The structure in extended XYZ format:
```
5
Lattice="-3.067 4.756 0.081 -3.071 -1.905 -4.356 -8.918 -2.445 3.678" Properties=species:S:1:pos:R:3 pbc="T T T"
Y 0.000 0.000 0.000
K -4.101 0.743 -1.111
K -10.954 -0.336 0.515
Ba -7.527 1.868 0.811
Ba -7.529 -1.462 -1.408
```

The raw total energy is -1.8364 eV per atom. The total magnetization is 1.149 μB per cell. Its formation energy is 664.5 meV per atom.


No. 17
Here is an optimized crystal structure of KBaY4 from the Alexandria database. Energies are from PBE-GGA.

The structure in extended XYZ format:
```
6
Lattice="6.284 -3.270 0.827 2.418 -1.475 6.545 0.233 -6.754 2.277" Properties=species:S:1:pos:R:3 pbc="T T T"
K 0.000 0.000 0.000
Ba 6.700 -8.625 7.237
Y 6.467 -5.945 4.042
Y 3.479 -7.665 4.758
Y 4.558 -5.059 6.865
Y 3.364 -4.330 3.634
```

The raw total energy is -4.3749 eV per atom. The total magnetization is 2.007 μB per cell. Its formation energy is 437.9 meV per atom.


No. 18
Here is an optimized crystal structure of KBaY2 from the Alexandria database. Energies are from PBE-GGA.

The structure in extended XYZ format:
```
4
Lattice="13.764 0.010 0.006 13.244 3.748 0.006 13.244 1.843 3.264" Properties=species:S:1:pos:R:3 pbc="T T T"
Ba 10.063 1.400 0.819
K 30.189 4.201 2.457
Y 40.093 5.579 3.263
Y 20.285 2.823 1.651
```

The raw total energy is -3.5920 eV per atom. The total magnetization is 0.001 μB per cell. Its formation energy is 395.1 meV per atom.


No. 19
Here is an optimized crystal structure of KBaY2 from the Alexandria database. Energies are from PBE-GGA.

The structure in extended XYZ format:
```
4
Lattice="-2.306 3.052 -1.187 -2.342 -3.565 -4.615 -4.852 -2.083 4.071" Properties=species:S:1:pos:R:3 pbc="T T T"
Ba -3.579 0.484 1.442
K -3.597 -2.824 -0.272
Y 0.000 0.000 0.000
Y -2.324 -0.257 -2.901
```

The raw total energy is -3.5494 eV per atom. The total magnetization is 0.002 μB per cell. Its formation energy is 437.7 meV per atom.


No. 20
Here is an optimized crystal structure of KBaY2 from the Alexandria database. Energies are from PBE-GGA.

The structure in extended XYZ format:
```
4
Lattice="-3.575 5.181 -3.706 -4.824 -2.000 -5.107 1.508 -1.620 6.961" Properties=species:S:1:pos:R:3 pbc="T T T"
Ba -3.758 -1.015 -1.276
K -3.133 2.576 -0.576
Y 0.000 0.000 0.000
Y -4.199 1.591 -4.407
```

The raw total energy is -3.4723 eV per atom. The total magnetization is 1.352 μB per cell. Its formation energy is 514.8 meV per atom.